Entry 1:
ZnCd2Tc: relaxed, PBE.

Values from the calculation:
Density ... 8.515 g/cm3
Final energy ... -2.780 eV per atom
Formation energy from the elements ... 0.59 eV per atom

Cell and atoms, written as CIF:
```
data_ZnCd2Tc
_chemical_formula_sum 'Zn2 Cd4 Tc2'
_symmetry_space_group_name_H-M 'P 1'
_symmetry_Int_Tables_number 1
_cell_length_a 10.2334
_cell_length_b 10.2334
_cell_length_c 10.2334
_cell_angle_alpha 157.91
_cell_angle_beta 157.91
_cell_angle_gamma 31.44
loop_
_symmetry_equiv_pos_as_xyz
'x,y,z'
loop_
_atom_site_label
_atom_site_fract_x
_atom_site_fract_y
_atom_site_fract_z
Zn1 0.0000 0.0000 0.0000
Zn2 0.7500 0.2500 0.5000
Cd1 0.1281 0.6250 0.0031
Cd2 0.3750 0.3781 0.5031
Cd3 0.6219 0.1250 0.9969
Cd4 0.8750 0.8719 0.4969
Tc1 0.2500 0.7500 0.5000
Tc2 0.5000 0.5000 0.0000
```

=====

Entry 2:
ZnCd2Tc: relaxed, PBE.

Values from the calculation:
Density ... 8.918 g/cm3
Final energy ... -3.095 eV per atom
Formation energy from the elements ... 0.27 eV per atom

Cell and atoms, written as CIF:
```
data_ZnCd2Tc
_chemical_formula_sum 'Zn1 Cd2 Tc1'
_symmetry_space_group_name_H-M 'P 1'
_symmetry_Int_Tables_number 1
_cell_length_a 2.8970
_cell_length_b 2.8970
_cell_length_c 8.6133
_cell_angle_alpha 90.00
_cell_angle_beta 90.00
_cell_angle_gamma 90.00
loop_
_symmetry_equiv_pos_as_xyz
'x,y,z'
loop_
_atom_site_label
_atom_site_fract_x
_atom_site_fract_y
_atom_site_fract_z
Zn1 0.0000 0.0000 0.0000
Cd1 0.0000 0.0000 0.5515
Cd2 0.5000 0.5000 0.2573
Tc1 0.5000 0.5000 0.7955
```

=====

Entry 3:
ZnCdTc2: relaxed, PBE.

Values from the calculation:
Energy relative to the lowest polymorph listed for this composition ... 210 meV per atom
Density ... 9.769 g/cm3
Final energy ... -5.459 eV per atom
Formation energy from the elements ... 0.27 eV per atom

Cell and atoms, written as CIF:
```
data_ZnCdTc2
_chemical_formula_sum 'Zn1 Cd1 Tc2'
_symmetry_space_group_name_H-M 'P 1'
_symmetry_Int_Tables_number 1
_cell_length_a 4.6833
_cell_length_b 4.6833
_cell_length_c 5.0951
_cell_angle_alpha 97.06
_cell_angle_beta 97.06
_cell_angle_gamma 34.99
loop_
_symmetry_equiv_pos_as_xyz
'x,y,z'
loop_
_atom_site_label
_atom_site_fract_x
_atom_site_fract_y
_atom_site_fract_z
Zn1 0.0000 0.0000 0.0000
Cd1 0.2457 0.2457 0.7707
Tc1 0.4930 0.4930 0.4585
Tc2 0.7443 0.7443 0.2758
```

=====

Entry 4:
ZnCd2Tc: relaxed, PBE.

Values from the calculation:
Density ... 9.228 g/cm3
Final energy ... -3.037 eV per atom
Formation energy from the elements ... 0.33 eV per atom

Cell and atoms, written as CIF:
```
data_ZnCd2Tc
_chemical_formula_sum 'Zn1 Cd2 Tc1'
_symmetry_space_group_name_H-M 'P 1'
_symmetry_Int_Tables_number 1
_cell_length_a 2.8254
_cell_length_b 4.4966
_cell_length_c 5.6427
_cell_angle_alpha 90.00
_cell_angle_beta 102.98
_cell_angle_gamma 90.00
loop_
_symmetry_equiv_pos_as_xyz
'x,y,z'
loop_
_atom_site_label
_atom_site_fract_x
_atom_site_fract_y
_atom_site_fract_z
Zn1 0.0000 0.0000 0.0000
Cd1 0.4083 0.5000 0.2503
Cd2 0.5917 0.5000 0.7497
Tc1 0.0000 0.0000 0.5000
```